Record 1
CaLaCd: PBEsol geometry, SCAN.

Cell lengths 5.1350, 5.1350, 5.1350 Å; angles 60.00, 60.00, 60.00 degrees
Fractional positions:
Ca  0.0000  0.0000  0.0000
La  0.2500  0.2500  0.2500
Cd  0.7500  0.7500  0.7500

ΔE_f	0.250	eV per atom
ΔE to the lowest computed polymorph	0.514	eV/atom
E	-27.477	eV per atom

Record 2
Ba2LiAl: PBEsol geometry, SCAN.

Cell lengths 4.1707, 5.8542, 5.8601 Å; angles 90.00, 90.00, 90.00 degrees
Fractional positions:
Ba  0.0000  0.0000  0.0000
Ba  0.0000  0.5000  0.4882
Li  0.5000  0.5000  0.9800
Al  0.5000  0.0000  0.5042

ΔE_f	-0.030	eV per atom
E	-22.341	eV per atom

Record 3
ZrFeTeN2: PBEsol geometry, SCAN.

Cell lengths 3.8586, 3.8586, 4.8588 Å; angles 90.00, 90.00, 90.00 degrees
Fractional positions:
Zr  0.0000  0.0000  0.0000
Fe  0.5000  0.5000  0.5000
Te  0.5000  0.5000  0.0000
N  0.0000  0.5000  0.5000
N  0.5000  0.0000  0.5000

E	-20.292	eV per atom
formation energy (no corrections)	0.640	eV/atom

Record 4
BeAlSb2: PBEsol geometry, SCAN.

Cell lengths 4.5249, 3.7531, 5.2632 Å; angles 90.00, 107.45, 90.00 degrees
Fractional positions:
Be  0.0000  0.0000  0.0000
Al  0.5000  0.0000  0.5000
Sb  0.2112  0.5000  0.7806
Sb  0.7888  0.5000  0.2194

ΔE to the lowest computed polymorph	0.313	eV/atom
E	-21.282	eV per atom
formation energy (no corrections)	0.375	eV/atom